The following is a DFT calculation (GGA-PBE) of a geometry-optimized Ru5C structure.

Geometry as CIF:
```
data_Ru5C
_symmetry_space_group_name_H-M 'P 1'
_symmetry_Int_Tables_number 1
_cell_length_a 4.6298
_cell_length_b 4.6298
_cell_length_c 4.1957
_cell_angle_alpha 90.00
_cell_angle_beta 90.00
_cell_angle_gamma 120.00
loop_
_symmetry_equiv_pos_as_xyz
'x,y,z'
loop_
_atom_site_label
_atom_site_type_symbol
_atom_site_fract_x
_atom_site_fract_y
_atom_site_fract_z
Ru1 Ru 0.0000 0.6797 0.0000
Ru2 Ru 0.3203 0.3203 0.0000
Ru3 Ru 0.3333 0.6667 0.5000
Ru4 Ru 0.6667 0.3333 0.5000
Ru5 Ru 0.6797 0.0000 0.0000
C1 C 0.0000 0.0000 0.5000
```

Results
Symmetry: P-62m (189)
Energy above the lowest structure with this stoichiometry in meV per atom: 535
ρ in g cm⁻³: 11.0
Energy of formation in eV per atom: 0.843
Density of states at the Fermi level in states/eV/cell: 5.556


The following is a DFT calculation (GGA-PBE) of a geometry-optimized ErZr3H structure.

Geometry as CIF:
```
data_ErZr3H
_symmetry_space_group_name_H-M 'P 1'
_symmetry_Int_Tables_number 1
_cell_length_a 4.6258
_cell_length_b 4.6258
_cell_length_c 4.6258
_cell_angle_alpha 90.00
_cell_angle_beta 90.00
_cell_angle_gamma 90.00
loop_
_symmetry_equiv_pos_as_xyz
'x,y,z'
loop_
_atom_site_label
_atom_site_type_symbol
_atom_site_fract_x
_atom_site_fract_y
_atom_site_fract_z
Er1 Er 0.0000 0.0000 0.0000
Zr1 Zr 0.0000 0.5000 0.5000
Zr2 Zr 0.5000 0.0000 0.5000
Zr3 Zr 0.5000 0.5000 0.0000
H1 H 0.5000 0.5000 0.5000
```

Results
Symmetry: Pm-3m (221)
ρ in g cm⁻³: 7.4
Density of states at the Fermi level in states/eV/cell: 6.633
DFT total energy in eV per cell: -33.880


The following is a DFT calculation (GGA-PBE) of a geometry-optimized TlBiPdAu structure.

Geometry as CIF:
```
data_TlBiPdAu
_symmetry_space_group_name_H-M 'P 1'
_symmetry_Int_Tables_number 1
_cell_length_a 5.0634
_cell_length_b 5.0634
_cell_length_c 6.5632
_cell_angle_alpha 122.89
_cell_angle_beta 122.89
_cell_angle_gamma 44.63
loop_
_symmetry_equiv_pos_as_xyz
'x,y,z'
loop_
_atom_site_label
_atom_site_type_symbol
_atom_site_fract_x
_atom_site_fract_y
_atom_site_fract_z
Tl1 Tl 0.0000 0.0000 0.0000
Bi1 Bi 0.1282 0.1282 0.6156
Pd1 Pd 0.7579 0.7579 0.4364
Au1 Au 0.3711 0.3711 0.2208
```

Results
Symmetry: Cm (8)
Energy above the lowest structure with this stoichiometry in meV per atom: 0
ρ in g cm⁻³: 12.4
Energy of formation in eV per atom: -0.087
Density of states at the Fermi level in states/eV/cell: 1.938


The following is a DFT calculation (GGA-PBE) of a geometry-optimized Ca3SiBr2 structure.

Geometry as CIF:
```
data_Ca3SiBr2
_symmetry_space_group_name_H-M 'P 1'
_symmetry_Int_Tables_number 1
_cell_length_a 14.4701
_cell_length_b 13.7827
_cell_length_c 7.6261
_cell_angle_alpha 79.38
_cell_angle_beta 69.42
_cell_angle_gamma 31.20
loop_
_symmetry_equiv_pos_as_xyz
'x,y,z'
loop_
_atom_site_label
_atom_site_type_symbol
_atom_site_fract_x
_atom_site_fract_y
_atom_site_fract_z
Ca1 Ca 0.0288 0.5397 0.1808
Ca2 Ca 0.0863 0.6637 0.6637
Ca3 Ca 0.1808 0.7507 0.0288
Ca4 Ca 0.2493 0.8192 0.4603
Ca5 Ca 0.3363 0.9137 0.9137
Ca6 Ca 0.4603 0.9712 0.2493
Ca7 Ca 0.5397 0.0288 0.7507
Ca8 Ca 0.6637 0.0863 0.0863
Ca9 Ca 0.7507 0.1808 0.5397
Ca10 Ca 0.8192 0.2493 0.9712
Ca11 Ca 0.9137 0.3363 0.3363
Ca12 Ca 0.9712 0.4603 0.8192
Si1 Si 0.0409 0.0409 0.2091
Si2 Si 0.2091 0.2091 0.0409
Si3 Si 0.7909 0.7909 0.9591
Si4 Si 0.9591 0.9591 0.7909
Br1 Br 0.1319 0.1319 0.6181
Br2 Br 0.2982 0.2982 0.4518
Br3 Br 0.3819 0.3819 0.8681
Br4 Br 0.4518 0.4518 0.2982
Br5 Br 0.5482 0.5482 0.7018
Br6 Br 0.6181 0.6181 0.1319
Br7 Br 0.7018 0.7018 0.5482
Br8 Br 0.8681 0.8681 0.3819
```

Results
Symmetry: Fddd (70)
Raw formation energy in meV/atom: -1219
Energy above the lowest structure with this stoichiometry in meV per atom: 0
ρ in g cm⁻³: 2.9


The following is a DFT calculation (GGA-PBE) of a geometry-optimized Ba2Pd4Pb5 structure.

Geometry as CIF:
```
data_Ba2Pd4Pb5
_symmetry_space_group_name_H-M 'P 1'
_symmetry_Int_Tables_number 1
_cell_length_a 7.4513
_cell_length_b 7.4513
_cell_length_c 9.4305
_cell_angle_alpha 129.19
_cell_angle_beta 129.19
_cell_angle_gamma 51.84
loop_
_symmetry_equiv_pos_as_xyz
'x,y,z'
loop_
_atom_site_label
_atom_site_type_symbol
_atom_site_fract_x
_atom_site_fract_y
_atom_site_fract_z
Ba1 Ba 0.2159 0.2159 0.2150
Ba2 Ba 0.7841 0.7841 0.7850
Pd1 Pd 0.2491 0.2491 0.9042
Pd2 Pd 0.2504 0.2504 0.5933
Pd3 Pd 0.7496 0.7496 0.4067
Pd4 Pd 0.7509 0.7509 0.0958
Pb1 Pb 0.2457 0.7530 0.6852
Pb2 Pb 0.2470 0.7543 0.3148
Pb3 Pb 0.5000 0.5000 0.0000
Pb4 Pb 0.7530 0.2457 0.6852
Pb5 Pb 0.7543 0.2470 0.3148
```

Results
Symmetry: C2/m (12)
ρ in g cm⁻³: 9.8
Energy of formation in eV per atom: -0.350
Density of states at the Fermi level in states/eV/cell: 6.595


The following is a DFT calculation (GGA-PBE) of a geometry-optimized TbMnCoSi3 structure.

Geometry as CIF:
```
data_TbMnCoSi3
_symmetry_space_group_name_H-M 'P 1'
_symmetry_Int_Tables_number 1
_cell_length_a 6.4244
_cell_length_b 6.4244
_cell_length_c 5.8512
_cell_angle_alpha 90.00
_cell_angle_beta 90.00
_cell_angle_gamma 125.25
loop_
_symmetry_equiv_pos_as_xyz
'x,y,z'
loop_
_atom_site_label
_atom_site_type_symbol
_atom_site_fract_x
_atom_site_fract_y
_atom_site_fract_z
Tb1 Tb 0.2446 0.7554 0.7500
Tb2 Tb 0.7554 0.2446 0.2500
Mn1 Mn 0.0221 0.9779 0.2500
Mn2 Mn 0.9779 0.0221 0.7500
Co1 Co 0.3920 0.6080 0.2500
Co2 Co 0.6080 0.3920 0.7500
Si1 Si 0.2078 0.7922 0.2500
Si2 Si 0.2947 0.2947 0.0000
Si3 Si 0.2947 0.2947 0.5000
Si4 Si 0.7053 0.7053 0.0000
Si5 Si 0.7053 0.7053 0.5000
Si6 Si 0.7922 0.2078 0.7500
```

Results
Symmetry: Cmcm (63)
Raw formation energy in meV/atom: -328
ρ in g cm⁻³: 6.0
Density of states at the Fermi level in states/eV/cell: 8.807


The following is a DFT calculation (GGA-PBE) of a geometry-optimized NbTe2BrN structure.

Geometry as CIF:
```
data_NbTe2BrN
_symmetry_space_group_name_H-M 'P 1'
_symmetry_Int_Tables_number 1
_cell_length_a 5.5975
_cell_length_b 5.5975
_cell_length_c 3.7129
_cell_angle_alpha 90.00
_cell_angle_beta 90.00
_cell_angle_gamma 90.00
loop_
_symmetry_equiv_pos_as_xyz
'x,y,z'
loop_
_atom_site_label
_atom_site_type_symbol
_atom_site_fract_x
_atom_site_fract_y
_atom_site_fract_z
Nb1 Nb 0.0000 0.0000 0.0000
Te1 Te 0.0000 0.5000 0.5000
Te2 Te 0.5000 0.0000 0.5000
Br1 Br 0.5000 0.5000 0.5000
N1 N 0.5000 0.5000 0.0000
```

Results
Symmetry: P4/mmm (123)
Raw formation energy in meV/atom: 1541
Energy above the lowest structure with this stoichiometry in meV per atom: 1350
ρ in g cm⁻³: 6.3
Density of states at the Fermi level in states/eV/cell: 4.316


The following is a DFT calculation (GGA-PBE) of a geometry-optimized Mg2TaPd9 structure.

Geometry as CIF:
```
data_Mg2TaPd9
_symmetry_space_group_name_H-M 'P 1'
_symmetry_Int_Tables_number 1
_cell_length_a 3.9613
_cell_length_b 3.9613
_cell_length_c 11.9571
_cell_angle_alpha 90.00
_cell_angle_beta 90.00
_cell_angle_gamma 90.00
loop_
_symmetry_equiv_pos_as_xyz
'x,y,z'
loop_
_atom_site_label
_atom_site_type_symbol
_atom_site_fract_x
_atom_site_fract_y
_atom_site_fract_z
Mg1 Mg 0.0000 0.0000 0.1640
Mg2 Mg 0.0000 0.0000 0.8360
Ta1 Ta 0.0000 0.0000 0.5000
Pd1 Pd 0.0000 0.5000 0.0000
Pd2 Pd 0.0000 0.5000 0.3388
Pd3 Pd 0.0000 0.5000 0.6612
Pd4 Pd 0.5000 0.0000 0.0000
Pd5 Pd 0.5000 0.0000 0.3388
Pd6 Pd 0.5000 0.0000 0.6612
Pd7 Pd 0.5000 0.5000 0.1703
Pd8 Pd 0.5000 0.5000 0.5000
Pd9 Pd 0.5000 0.5000 0.8297
```

Results
Symmetry: P4/mmm (123)
ρ in g cm⁻³: 10.5
Energy of formation in eV per atom: -0.512
Density of states at the Fermi level in states/eV/cell: 13.108


The following is a DFT calculation (GGA-PBE) of a geometry-optimized NiTe4Ru structure.

Geometry as CIF:
```
data_NiTe4Ru
_symmetry_space_group_name_H-M 'P 1'
_symmetry_Int_Tables_number 1
_cell_length_a 6.1444
_cell_length_b 6.1444
_cell_length_c 6.1444
_cell_angle_alpha 60.00
_cell_angle_beta 60.00
_cell_angle_gamma 60.00
loop_
_symmetry_equiv_pos_as_xyz
'x,y,z'
loop_
_atom_site_label
_atom_site_type_symbol
_atom_site_fract_x
_atom_site_fract_y
_atom_site_fract_z
Ni1 Ni 0.0000 0.0000 0.0000
Te1 Te 0.3749 0.3749 0.3749
Te2 Te 0.3749 0.3749 0.8753
Te3 Te 0.3749 0.8753 0.3749
Te4 Te 0.8753 0.3749 0.3749
Ru1 Ru 0.7500 0.7500 0.7500
```

Results
Symmetry: F-43m (216)
Raw formation energy in meV/atom: 1391
Energy above the lowest structure with this stoichiometry in meV per atom: 1610
ρ in g cm⁻³: 6.8
Density of states at the Fermi level in states/eV/cell: 13.683


The following is a DFT calculation (GGA-PBE) of a geometry-optimized KTaHg4 structure.

Geometry as CIF:
```
data_KTaHg4
_symmetry_space_group_name_H-M 'P 1'
_symmetry_Int_Tables_number 1
_cell_length_a 5.9788
_cell_length_b 5.9788
_cell_length_c 5.9788
_cell_angle_alpha 60.00
_cell_angle_beta 60.00
_cell_angle_gamma 60.00
loop_
_symmetry_equiv_pos_as_xyz
'x,y,z'
loop_
_atom_site_label
_atom_site_type_symbol
_atom_site_fract_x
_atom_site_fract_y
_atom_site_fract_z
K1 K 0.0000 0.0000 0.0000
Ta1 Ta 0.7500 0.7500 0.7500
Hg1 Hg 0.3754 0.3754 0.3754
Hg2 Hg 0.3754 0.3754 0.8739
Hg3 Hg 0.3754 0.8739 0.3754
Hg4 Hg 0.8739 0.3754 0.3754
```

Results
Symmetry: F-43m (216)
ρ in g cm⁻³: 11.2
Energy of formation in eV per atom: 0.657
Density of states at the Fermi level in states/eV/cell: 5.588


The following is a DFT calculation (GGA-PBE) of a geometry-optimized Nd2SnS5 structure.

Geometry as CIF:
```
data_Nd2SnS5
_symmetry_space_group_name_H-M 'P 1'
_symmetry_Int_Tables_number 1
_cell_length_a 7.8911
_cell_length_b 11.4835
_cell_length_c 3.9393
_cell_angle_alpha 90.00
_cell_angle_beta 90.00
_cell_angle_gamma 90.00
loop_
_symmetry_equiv_pos_as_xyz
'x,y,z'
loop_
_atom_site_label
_atom_site_type_symbol
_atom_site_fract_x
_atom_site_fract_y
_atom_site_fract_z
Nd1 Nd 0.0442 0.1723 0.0000
Nd2 Nd 0.4558 0.6723 0.0000
Nd3 Nd 0.5442 0.3277 0.0000
Nd4 Nd 0.9558 0.8277 0.0000
Sn1 Sn 0.0000 0.5000 0.5000
Sn2 Sn 0.5000 0.0000 0.5000
S1 S 0.0000 0.0000 0.5000
S2 S 0.1655 0.6965 0.5000
S3 S 0.1759 0.4131 0.0000
S4 S 0.3241 0.9131 0.0000
S5 S 0.3345 0.1965 0.5000
S6 S 0.5000 0.5000 0.5000
S7 S 0.6655 0.8035 0.5000
S8 S 0.6759 0.0869 0.0000
S9 S 0.8241 0.5869 0.0000
S10 S 0.8345 0.3035 0.5000
```

Results
Symmetry: Pbam (55)
Raw formation energy in meV/atom: -1436
Energy above the lowest structure with this stoichiometry in meV per atom: 0
ρ in g cm⁻³: 5.3
Density of states at the Fermi level in states/eV/cell: 2.663